# 1
Material: TlFe3I8
Method: DFT, PBE
State: relaxed

## Properties
The calculation puts the total DFT energy (no corrections) at -3.54 eV/atom. The calculation puts the calculated volume at 476.3 Å³ per cell. The energy relative to the elements, uncorrected is -18.5 kJ/mol of atoms. The space-group type is C2/m.

abc: 7.123 7.123 10.055
angles: 93.22 93.22 69.36
Fractional coordinates of all 12 atoms:
1 Tl 0.000 0.000 0.000
2 Fe 0.000 0.000 0.500
3 Fe 0.374 0.374 0.716
4 Fe 0.626 0.626 0.284
5 I 0.235 0.748 0.297
6 I 0.236 0.236 0.505
7 I 0.252 0.765 0.703
8 I 0.297 0.297 0.946
9 I 0.703 0.703 0.054
10 I 0.748 0.235 0.297
11 I 0.764 0.764 0.495
12 I 0.765 0.252 0.703

=====

# 2
Material: CaTa3I
Method: DFT, PBE
State: relaxed

## Properties
The calculation puts the total DFT energy (no corrections) at -6.09 eV/atom. The calculation puts the calculated volume at 131.5 Å³ per cell. As for the excess energy over the best structure of this formula in the dataset: 0 meV/atom. The energy relative to the elements, uncorrected is 167.2 kJ/mol of atoms. The space-group type is Pm-3m.

abc: 5.085 5.085 5.085
angles: 90.00 90.00 90.00
Fractional coordinates of all 5 atoms:
1 Ca 0.000 0.000 0.000
2 Ta 0.000 0.500 0.500
3 Ta 0.500 0.000 0.500
4 Ta 0.500 0.500 0.000
5 I 0.500 0.500 0.500

=====

# 3
Material: GaSbC3
Method: DFT, PBE
State: relaxed

## Properties
The calculation puts the total DFT energy (no corrections) at -4.15 eV/atom. The calculation puts the calculated volume at 78.5 Å³ per cell. As for the excess energy over the best structure of this formula in the dataset: 263 meV/atom. The energy relative to the elements, uncorrected is 271.7 kJ/mol of atoms. The space-group type is Pm-3m.

abc: 4.281 4.281 4.281
angles: 90.00 90.00 90.00
Fractional coordinates of all 5 atoms:
1 Ga 0.000 0.000 0.000
2 Sb 0.500 0.500 0.500
3 C 0.000 0.500 0.500
4 C 0.500 0.000 0.500
5 C 0.500 0.500 0.000

=====

# 4
Material: Mn2BeTe
Method: DFT, PBE
State: relaxed

## Properties
The calculation puts the total DFT energy (no corrections) at -5.81 eV/atom. The calculation puts the calculated volume at 53.6 Å³ per cell. As for the excess energy over the best structure of this formula in the dataset: 209 meV/atom. The energy relative to the elements, uncorrected is 47.4 kJ/mol of atoms. The space-group type is F-43m.

abc: 4.233 4.233 4.233
angles: 60.00 60.00 60.00
Fractional coordinates of all 4 atoms:
1 Mn 0.000 0.000 0.000
2 Mn 0.250 0.250 0.250
3 Be 0.500 0.500 0.500
4 Te 0.750 0.750 0.750